P.
{"formula": "Ta2ZnSb", "functional": "PBE-GGA", "state": "relaxed", "vol_a3_per_cell": 159.1, "rho_kg_m3": 11461, "total_magnetization_mub_per_fu": 0.0, "cell": [[-1.9851, 1.9851, 10.0937], [1.9851, -1.9851, 10.0937], [1.9851, 1.9851, -10.0937]], "species": ["Ta", "Ta", "Ta", "Ta", "Zn", "Zn", "Sb", "Sb"], "frac_coords": [[0.1224, 0.6250, 0.9974], [0.3750, 0.3724, 0.4974], [0.6276, 0.1250, 0.0026], [0.8750, 0.8776, 0.5026], [0.0000, 0.0000, 0.0000], [0.7500, 0.2500, 0.5000], [0.2500, 0.7500, 0.5000], [0.5000, 0.5000, 0.0000]]}



Q.
{"formula": "Ta2ZnSb", "functional": "PBE-GGA", "state": "relaxed", "vol_a3_per_cell": 74.4, "rho_kg_m3": 12247, "total_magnetization_mub_per_fu": 0.0, "cell": [[3.5578, 0.0000, 0.0000], [0.0000, 3.5578, 0.0000], [0.0000, 0.0000, 5.8813]], "species": ["Ta", "Ta", "Zn", "Sb"], "frac_coords": [[0.0000, 0.0000, 0.0000], [0.5000, 0.5000, 0.2298], [0.0000, 0.0000, 0.4636], [0.5000, 0.5000, 0.7263]]}



R.
{"formula": "Ta2ZnSb", "functional": "PBE-GGA", "state": "relaxed", "vol_a3_per_cell": 79.3, "rho_kg_m3": 11491, "total_magnetization_mub_per_fu": 0.0, "cell": [[1.5441, 0.8915, 9.6060], [-1.5441, 0.8915, 9.6060], [0.0000, -1.7830, 9.6060]], "species": ["Ta", "Ta", "Zn", "Sb"], "frac_coords": [[0.0000, 0.0000, 0.0000], [0.2512, 0.2512, 0.2512], [0.5091, 0.5091, 0.5091], [0.7494, 0.7494, 0.7494]]}



Stability check: which of them is least stable? P.



P.
{"formula": "Ta2ZnSb", "functional": "PBE-GGA", "state": "relaxed", "vol_a3_per_cell": 73.0, "rho_kg_m3": 12491, "total_magnetization_mub_per_fu": 0.0, "cell": [[3.5024, 0.0000, 0.0000], [0.0000, 3.5024, 0.0000], [0.0000, 0.0000, 5.9506]], "species": ["Ta", "Ta", "Zn", "Sb"], "frac_coords": [[0.0000, 0.0000, 0.2347], [0.0000, 0.0000, 0.7653], [0.5000, 0.5000, 0.0000], [0.5000, 0.5000, 0.5000]]}



Q.
{"formula": "Ta2ZnSb", "functional": "PBE-GGA", "state": "relaxed", "vol_a3_per_cell": 74.1, "rho_kg_m3": 12306, "total_magnetization_mub_per_fu": 0.0, "cell": [[2.9771, 0.0000, 0.0000], [0.0000, 4.4991, 0.0000], [-0.9552, 0.0000, 5.5316]], "species": ["Ta", "Ta", "Zn", "Sb"], "frac_coords": [[0.2326, 0.0000, 0.2362], [0.7674, 0.0000, 0.7638], [0.5000, 0.5000, 0.0000], [0.0000, 0.5000, 0.5000]]}



R.
{"formula": "Ta2ZnSb", "functional": "PBE-GGA", "state": "relaxed", "vol_a3_per_cell": 73.0, "rho_kg_m3": 12484, "total_magnetization_mub_per_fu": 0.0, "cell": [[4.9680, -1.7529, 0.0000], [4.9680, 1.7529, 0.0000], [-2.1667, 0.0000, 4.1932]], "species": ["Ta", "Ta", "Zn", "Sb"], "frac_coords": [[0.2450, 0.2450, 0.2441], [0.7550, 0.7550, 0.7559], [0.5000, 0.5000, 0.0000], [0.0000, 0.0000, 0.5000]]}



S.
{"formula": "Ta2ZnSb", "functional": "PBE-GGA", "state": "relaxed", "vol_a3_per_cell": 82.6, "rho_kg_m3": 11037, "total_magnetization_mub_per_fu": 0.0, "cell": [[1.8347, -2.3413, 0.0000], [1.8347, 2.3413, 0.0000], [0.0000, 0.0000, 9.6154]], "species": ["Ta", "Ta", "Zn", "Sb"], "frac_coords": [[0.0000, 0.0000, 0.0000], [0.5000, 0.5000, 0.2264], [0.0000, 0.0000, 0.4322], [0.5000, 0.5000, 0.7653]]}



Stability check: which of them is least stable? P.



P.
{"formula": "Ta2ZnSb", "functional": "PBE-GGA", "state": "relaxed", "vol_a3_per_cell": 72.9, "rho_kg_m3": 12512, "total_magnetization_mub_per_fu": 0.0, "cell": [[4.1162, 0.0000, 0.0000], [0.0000, 4.1162, 0.0000], [0.0000, 0.0000, 4.3008]], "species": ["Ta", "Ta", "Zn", "Sb"], "frac_coords": [[0.0000, 0.5000, 0.0000], [0.5000, 0.0000, 0.0000], [0.0000, 0.0000, 0.5000], [0.5000, 0.5000, 0.5000]]}



Q.
{"formula": "Ta2ZnSb", "functional": "PBE-GGA", "state": "relaxed", "vol_a3_per_cell": 86.6, "rho_kg_m3": 10532, "total_magnetization_mub_per_fu": 0.0, "cell": [[2.9302, 0.0000, 0.0000], [0.0000, 2.9302, 0.0000], [0.0000, 0.0000, 10.0830]], "species": ["Ta", "Ta", "Zn", "Sb"], "frac_coords": [[0.0000, 0.0000, 0.0000], [0.5000, 0.5000, 0.2284], [0.0000, 0.0000, 0.4160], [0.5000, 0.5000, 0.7773]]}



R.
{"formula": "Ta2ZnSb", "functional": "PBE-GGA", "state": "relaxed", "vol_a3_per_cell": 72.9, "rho_kg_m3": 12509, "total_magnetization_mub_per_fu": 0.0, "cell": [[3.0749, 0.0000, 0.0000], [0.0000, 3.0749, 0.0000], [0.0000, 0.0000, 7.7087]], "species": ["Ta", "Ta", "Zn", "Sb"], "frac_coords": [[0.0000, 0.0000, 0.2295], [0.0000, 0.0000, 0.7705], [0.5000, 0.5000, 0.0000], [0.5000, 0.5000, 0.5000]]}



Stability check: which of them is least stable? R.